(1)
Entry from Alexandria: crystalline HfMn3P at its relaxed geometry (GGA-PBEsol).

Cell: 4.6196 4.6196 4.6196 Å, 90.00 90.00 90.00°
With the nearest neighbours (Å) after each atom.
Space group Pm-3m (No. 221)
One atom of each set of equivalent atoms:
Hf  0.0000  0.0000  0.0000 [1 per cell]  6 Mn 2.31
Mn  0.0000  0.0000  0.5000 [3 per cell]  2 Hf 2.31
P  0.5000  0.5000  0.5000 [1 per cell]  12 Mn 3.27

Output
DOS at the Fermi energy (states/eV/f.u.): 4.66
ΔE to the lowest computed polymorph (eV/atom): 1.749
Electronic total energy (eV/atom): -7.37
Formation energy from the elements (meV per atom): 1749
Crystal system: cubic
V (Å³/cell): 98.6

***

(2)
Entry from Alexandria: crystalline Hf3MnP at its relaxed geometry (GGA-PBEsol).

Cell: 4.6332 4.6332 4.6332 Å, 90.00 90.00 90.00°
With the nearest neighbours (Å) after each atom.
Space group Pm-3m (No. 221)
One atom of each set of equivalent atoms:
Hf  0.0000  0.0000  0.5000 [3 per cell]  2 Mn 2.32
Mn  0.0000  0.0000  0.0000 [1 per cell]  6 Hf 2.32
P  0.5000  0.5000  0.5000 [1 per cell]  12 Hf 3.28

Output
DOS at the Fermi energy (states/eV/f.u.): 7.12
Electronic total energy (eV/atom): -9.04
Formation energy from the elements (meV per atom): 369
Crystal system: cubic
V (Å³/cell): 99.5

***

(3)
Entry from Alexandria: crystalline HfMnP at its relaxed geometry (GGA-PBEsol).

Cell: 6.3031 3.5672 7.3401 Å, 90.00 90.00 90.00°
With the nearest neighbours (Å) after each atom.
Space group Pnma (No. 62)
One atom of each set of equivalent atoms:
Hf  0.0302  0.2500  0.1751 [4 per cell]  5 P 2.62-2.68, 5 Mn 2.84-2.91
Mn  0.1372  0.2500  0.5602 [4 per cell]  4 P 2.33-2.44
P  0.2311  0.7500  0.3723 [4 per cell]  4 Mn 2.33-2.44

Output
DOS at the Fermi energy (states/eV/f.u.): 1.33
Electronic total energy (eV/atom): -9.75
Formation energy from the elements (meV per atom): -1066
Crystal system: orthorhombic
V (Å³/cell): 165.0

***

(4)
Entry from Alexandria: crystalline HfMnPS2 at its relaxed geometry (GGA-PBEsol).

Cell: 4.3327 4.3327 4.4965 Å, 90.00 90.00 90.00°
With the nearest neighbours (Å) after each atom.
Space group P4/mmm (No. 123)
One atom of each set of equivalent atoms:
Hf  0.0000  0.0000  0.0000 [1 per cell]  4 P 3.06, 8 S 3.12
Mn  0.5000  0.5000  0.5000 [1 per cell]  4 S 2.17, 2 P 2.25
P  0.5000  0.5000  0.0000 [1 per cell]  2 Mn 2.25
S  0.0000  0.5000  0.5000 [2 per cell]  2 Mn 2.17

Output
ΔE_f (raw) (meV/atom): -45
DOS at the Fermi energy (states/eV/f.u.): 2.85
Electronic total energy (eV/atom): -7.01
Crystal system: tetragonal
V (Å³/cell): 84.4